Compound: CaMg2Hg
Source: Alexandria via LeMat-Bulk
Functional: GGA-PBE
Structure: relaxed Values from VASP.

Structure (Quantum ESPRESSO input):
```
&SYSTEM
  ibrav = 0, nat = 4, ntyp = 3
/
ATOMIC_SPECIES
Ca 40.08 Ca.upf
Mg 24.30 Mg.upf
Hg 200.59 Hg.upf
CELL_PARAMETERS angstrom
3.703 0.000 0.000
0.000 3.703 0.000
0.000 0.000 7.584
ATOMIC_POSITIONS angstrom
Ca 0.000 0.000 0.000
Mg 1.851 1.851 2.240
Mg 1.851 1.851 5.343
Hg 0.000 0.000 3.792
```

Formation energy, eV/atom: -0.168
Space-group type: No. 123